Material: Dy11Hg9Ir4
Method: DFT, PBE
State: optimized geometry

Cell lengths 12.973, 12.973, 3.694 Å; angles 90.00, 90.00, 112.39 degrees
Sites, in units of the cell vectors:
Dy1 0.000 0.000 0.000
Dy2 0.085 0.417 0.000
Dy3 0.167 0.833 0.000
Dy4 0.296 0.296 0.000
Dy5 0.367 0.633 0.000
Dy6 0.417 0.085 0.000
Dy7 0.583 0.915 0.000
Dy8 0.633 0.367 0.000
Dy9 0.704 0.704 0.000
Dy10 0.833 0.167 0.000
Dy11 0.915 0.583 0.000
Hg1 0.059 0.210 0.500
Hg2 0.147 0.632 0.500
Hg3 0.210 0.059 0.500
Hg4 0.368 0.853 0.500
Hg5 0.500 0.500 0.500
Hg6 0.632 0.147 0.500
Hg7 0.790 0.941 0.500
Hg8 0.853 0.368 0.500
Hg9 0.941 0.790 0.500
Ir1 0.258 0.452 0.500
Ir2 0.452 0.258 0.500
Ir3 0.548 0.742 0.500
Ir4 0.742 0.548 0.500

The energy relative to the elements comes out at -613.9 meV per atom. The density of states at the Fermi level comes out at 14.1 states/eV/cell. The crystal system is orthorhombic. The value obtained for the magnetic moment is 0.000 Bohr magnetons per cell.